! Nd4Si2H GGA-PBE relaxed; values from VASP
! SG: P2_1/m
! Energy above the lowest structure with this stoichiometry (eV/atom): 0.000
! Total magnetic moment (μB per atom): 0.000
&SYSTEM
  ibrav = 0, nat = 14, ntyp = 3
/
ATOMIC_SPECIES
Si 28.09 Si.upf
Nd 144.24 Nd.upf
H 1.01 H.upf
CELL_PARAMETERS angstrom
6.509 0.000 -0.204
0.000 6.537 0.000
-2.628 0.000 8.325
ATOMIC_POSITIONS crystal
Si 0.284 0.250 0.951
Si 0.766 0.750 0.572
Si 0.234 0.250 0.428
Si 0.716 0.750 0.049
Nd 0.909 0.250 0.090
Nd 0.512 0.001 0.265
Nd 0.091 0.750 0.910
Nd 0.512 0.499 0.265
Nd 0.068 0.750 0.378
Nd 0.488 0.999 0.735
Nd 0.488 0.501 0.735
Nd 0.932 0.250 0.622
H 0.750 0.250 0.811
H 0.250 0.750 0.189

***

! Ce3Pt4Au4 GGA-PBE relaxed; values from VASP
! SG: Immm
! Total magnetic moment (μB per atom): 0.121
! Energy of formation (eV per atom): -0.7153
&SYSTEM
  ibrav = 0, nat = 11, ntyp = 3
/
ATOMIC_SPECIES
Au 196.97 Au.upf
Pt 195.08 Pt.upf
Ce 140.12 Ce.upf
CELL_PARAMETERS angstrom
3.727 0.000 -0.927
-0.947 6.740 -3.807
0.257 0.601 8.989
ATOMIC_POSITIONS crystal
Au 0.660 0.844 0.319
Au 0.340 0.156 0.681
Au 0.340 0.524 0.681
Au 0.660 0.476 0.319
Pt 0.500 0.815 0.000
Pt 0.249 0.749 0.498
Pt 0.500 0.185 0.000
Pt 0.751 0.251 0.502
Ce 0.122 0.122 0.245
Ce 0.000 0.500 0.000
Ce 0.878 0.878 0.755

***

! Y4HoIr5 GGA-PBE relaxed; values from VASP
! SG: P4/mmm
! Total magnetic moment (μB per atom): 0.000
! Energy of formation (eV per atom): -0.7859
&SYSTEM
  ibrav = 0, nat = 10, ntyp = 3
/
ATOMIC_SPECIES
Ir 192.22 Ir.upf
Y 88.91 Y.upf
Ho 164.93 Ho.upf
CELL_PARAMETERS angstrom
-0.038 1.803 -2.830
1.109 -2.664 -1.712
-16.884 -5.090 -3.017
ATOMIC_POSITIONS crystal
Ir 0.500 0.500 0.902
Ir 0.500 0.500 0.701
Ir 0.500 0.500 0.500
Ir 0.500 0.500 0.299
Ir 0.500 0.500 0.098
Y 0.000 0.000 0.801
Y 0.000 0.000 0.199
Y 0.000 0.000 0.400
Y 0.000 0.000 0.600
Ho 0.000 0.000 0.000

***

! Hg2MoCl GGA-PBE relaxed; values from VASP
! SG: Cmmm
! Energy above the lowest structure with this stoichiometry (eV/atom): 0.269
! Total magnetic moment (μB per atom): 0.000
! ΔE_f (raw) (eV per formula unit): 1.75
&SYSTEM
  ibrav = 0, nat = 4, ntyp = 3
/
ATOMIC_SPECIES
Mo 95.94 Mo.upf
Hg 200.59 Hg.upf
Cl 35.45 Cl.upf
CELL_PARAMETERS angstrom
3.115 0.104 0.000
-1.027 2.942 0.000
0.000 0.000 8.778
ATOMIC_POSITIONS crystal
Mo 0.500 0.500 0.250
Hg 0.000 0.000 0.493
Hg 0.000 0.000 0.007
Cl 0.500 0.500 0.750

***

What is the formula in the fourth record?
Hg2MoCl

***

total magnetic moment of number 4 (Hg2MoCl)?
0.000 μB per atom

***

What is the total magnetic moment in the second record?
0.121 μB per atom